Density functional theory data (GGA-PBE) for SrLaNi2 after structural relaxation.

Computed properties:
* density of states at the Fermi level: 0.48 states/eV/atom
* offset from the most stable computed form: 46 kJ/mol of formula units
* size of the total moment: 0.00 μB per atom

Cell lengths 5.0597, 5.0597, 3.5491 Å; angles 90.07, 90.07, 90.00 degrees
Fractional positions:
Ni (0.0000, 0.0000, 0.0000)
Ni (0.5000, 0.5000, 0.0000)
La (0.0000, 0.5000, 0.5000)
Sr (0.5000, 0.0000, 0.5000)



Density functional theory data (GGA-PBE) for Ba2LaTl2 after structural relaxation.

Computed properties:
* density of states at the Fermi level: 0.97 states/eV/atom
* offset from the most stable computed form: 48 kJ/mol of formula units
* size of the total moment: 0.04 μB per atom

Cell lengths 10.1507, 10.1507, 3.7745 Å; angles 90.00, 90.00, 90.00 degrees
Site moments in Bohr magnetons follow the coordinates.
Fractional positions:
La (0.0000, 0.0000, 0.0000)  0.11
La (0.5000, 0.5000, 0.0000)  0.11
Tl (0.8268, 0.3268, 0.5000)  0.00
Tl (0.3268, 0.1732, 0.5000)  0.00
Tl (0.1732, 0.6732, 0.5000)  0.00
Tl (0.6732, 0.8268, 0.5000)  0.00
Ba (0.3737, 0.8737, 0.0000)  0.00
Ba (0.8737, 0.6263, 0.0000)  0.00
Ba (0.6263, 0.1263, 0.0000)  0.00
Ba (0.1263, 0.3737, 0.0000)  0.00



Density functional theory data (GGA-PBE) for AlRuO2F after structural relaxation.

Computed properties:
* density of states at the Fermi level: 0.59 states/eV/atom
* energy relative to the elements, uncorrected: -1376 meV/atom
* size of the total moment: 0.80 μB per atom

Cell lengths 3.7870, 3.7870, 3.6507 Å; angles 90.00, 90.00, 90.00 degrees
Site moments in Bohr magnetons follow the coordinates.
Fractional positions:
F (0.0000, 0.0000, 0.5000)  0.06
Ru (0.5000, 0.5000, 0.5000)  3.27
O (0.0000, 0.5000, 0.0000)  0.22
O (0.5000, 0.0000, 0.0000)  0.22
Al (0.0000, 0.0000, 0.0000)  -0.01



Density functional theory data (GGA-PBE) for BeVRh2 after structural relaxation.

Computed properties:
* density of states at the Fermi level: 0.76 states/eV/atom
* E_tot: -26.78 eV per formula unit
* size of the total moment: 0.00 μB per atom

Cell lengths 5.4761, 5.4761, 5.4761 Å; angles 53.03, 151.88, 136.01 degrees
Fractional positions:
Be (0.0000, 0.0000, 0.0000)
Rh (0.0000, 0.7967, 0.7967)
Rh (0.0000, 0.2033, 0.2033)
V (0.0000, 0.5000, 0.5000)



Density functional theory data (GGA-PBE) for SrHgP2 after structural relaxation.

Computed properties:
* density of states at the Fermi level: 0.21 states/eV/atom
* E_tot: -14.18 eV per formula unit
* size of the total moment: 0.00 μB per atom

Cell lengths 5.7266, 5.7266, 6.0832 Å; angles 76.08, 76.08, 35.95 degrees
Fractional positions:
Sr (0.7500, 0.7500, 0.7500)
P (0.0018, 0.0018, 0.8702)
P (0.4982, 0.4982, 0.6298)
Hg (0.2500, 0.2500, 0.2500)



Density functional theory data (GGA-PBE) for GePtF2 after structural relaxation.

Computed properties:
* density of states at the Fermi level: 0.82 states/eV/atom
* energy relative to the elements, uncorrected: -756 meV/atom
* offset from the most stable computed form: 54 kJ/mol of formula units
* size of the total moment: 0.00 μB per atom

Cell lengths 10.0706, 10.0706, 10.0706 Å; angles 15.50, 15.50, 15.50 degrees
Fractional positions:
F (0.9402, 0.9402, 0.9402)
F (0.0598, 0.0598, 0.0598)
Ge (0.0000, 0.0000, 0.0000)
Pt (0.5000, 0.5000, 0.5000)



Density functional theory data (GGA-PBE) for Pm3ErTm3 after structural relaxation.

Computed properties:
* density of states at the Fermi level: 1.80 states/eV/atom
* offset from the most stable computed form: 0 kJ/mol of formula units
* size of the total moment: 0.00 μB per atom

Cell lengths 5.6996, 9.5577, 9.5591 Å; angles 120.00, 90.00, 90.00 degrees
Fractional positions:
Pm (0.2500, 0.8057, 0.0489)
Pm (0.2500, 0.9513, 0.7570)
Pm (0.7500, 0.7568, 0.8059)
Pm (0.7500, 0.0487, 0.2430)
Pm (0.2500, 0.2432, 0.1941)
Pm (0.7500, 0.1943, 0.9511)
Er (0.2500, 0.6668, 0.3335)
Er (0.7500, 0.3332, 0.6665)
Tm (0.7500, 0.4788, 0.3838)
Tm (0.2500, 0.3836, 0.9046)
Tm (0.7500, 0.9050, 0.5214)
Tm (0.2500, 0.5212, 0.6162)
Tm (0.7500, 0.6164, 0.0954)
Tm (0.2500, 0.0950, 0.4786)



Density functional theory data (GGA-PBE) for Pu2Cu3Rh after structural relaxation.

Computed properties:
* density of states at the Fermi level: 2.78 states/eV/atom
* E_tot: -49.58 eV per formula unit
* size of the total moment: 1.93 μB per atom

Cell lengths 5.1445, 5.1445, 5.3562 Å; angles 90.02, 118.70, 119.97 degrees
Site moments in Bohr magnetons follow the coordinates.
Fractional positions:
Cu (0.0000, 0.0000, 0.5000)  0.06
Cu (0.5000, 0.5000, 0.5000)  0.06
Cu (0.5000, 0.0000, 0.5000)  0.06
Pu (0.2571, 0.6288, 0.8858)  5.40
Pu (0.7429, 0.3712, 0.1142)  5.40
Rh (0.0000, 0.0000, 0.0000)  -0.10



Density functional theory data (GGA-PBE) for CoRu2Cl after structural relaxation.

Computed properties:
* density of states at the Fermi level: 1.59 states/eV/atom
* energy relative to the elements, uncorrected: 1092 meV/atom
* offset from the most stable computed form: 285 kJ/mol of formula units
* size of the total moment: 0.21 μB per atom

Cell lengths 5.2216, 5.2216, 6.4724 Å; angles 66.21, 66.21, 90.00 degrees
Site moments in Bohr magnetons follow the coordinates.
Fractional positions:
Cl (0.5000, 0.5000, 0.0000)  -0.01
Cl (0.2500, 0.7500, 0.5000)  -0.01
Ru (0.6274, 0.1250, 0.2500)  0.12
Ru (0.8750, 0.8774, 0.7500)  0.13
Ru (0.3750, 0.3726, 0.7500)  0.17
Ru (0.1226, 0.6250, 0.2500)  0.12
Co (0.0000, 0.0000, 0.0000)  0.53
Co (0.7500, 0.2500, 0.5000)  0.51



Density functional theory data (GGA-PBE) for BaCrSe after structural relaxation.

Computed properties:
* density of states at the Fermi level: 0.58 states/eV/atom
* energy relative to the elements, uncorrected: -209 meV/atom
* offset from the most stable computed form: 97 kJ/mol of formula units
* size of the total moment: 1.95 μB per atom

Cell lengths 5.2730, 5.2730, 5.2730 Å; angles 60.00, 60.00, 60.00 degrees
Site moments in Bohr magnetons follow the coordinates.
Fractional positions:
Ba (0.0000, 0.0000, 0.0000)  0.14
Se (0.7500, 0.7500, 0.7500)  0.09
Cr (0.5000, 0.5000, 0.5000)  4.30



Density functional theory data (GGA-PBE) for Pr10Ho4Tm after structural relaxation.

Computed properties:
* density of states at the Fermi level: 1.51 states/eV/atom
* E_tot: -60.49 eV per formula unit
* size of the total moment: 0.00 μB per atom

Cell lengths 7.8607, 9.6108, 9.6108 Å; angles 80.37, 65.86, 65.86 degrees
Fractional positions:
Tm (0.0000, 0.0000, 0.0000)
Pr (0.8498, 0.7008, 0.1005)
Pr (0.2500, 0.5000, 0.5000)
Pr (0.0497, 0.1005, 0.2992)
Pr (0.1502, 0.2992, 0.8995)
Pr (0.5506, 0.1005, 0.2992)
Pr (0.9503, 0.8995, 0.7008)
Pr (0.3489, 0.7008, 0.1005)
Pr (0.4494, 0.8995, 0.7008)
Pr (0.6511, 0.2992, 0.8995)
Pr (0.7500, 0.5000, 0.5000)
Ho (0.2004, 0.4000, 0.1992)
Ho (0.3996, 0.8008, 0.4000)
Ho (0.7996, 0.6000, 0.8008)
Ho (0.6004, 0.1992, 0.6000)



Density functional theory data (GGA-PBE) for Pr10HoEr4 after structural relaxation.

Computed properties:
* density of states at the Fermi level: 1.51 states/eV/atom
* E_tot: -60.55 eV per formula unit
* size of the total moment: 0.00 μB per atom

Cell lengths 7.8560, 9.6029, 9.6029 Å; angles 80.37, 65.86, 65.86 degrees
Fractional positions:
Pr (0.8494, 0.6998, 0.1012)
Pr (0.6503, 0.3002, 0.8988)
Pr (0.2500, 0.5000, 0.5000)
Pr (0.9506, 0.8988, 0.6998)
Pr (0.0494, 0.1012, 0.3002)
Pr (0.3497, 0.6998, 0.1012)
Pr (0.1506, 0.3002, 0.8988)
Pr (0.5491, 0.1012, 0.3002)
Pr (0.7500, 0.5000, 0.5000)
Pr (0.4509, 0.8988, 0.6998)
Er (0.6005, 0.1990, 0.6001)
Er (0.7995, 0.6001, 0.8010)
Er (0.2005, 0.3999, 0.1990)
Er (0.3995, 0.8010, 0.3999)
Ho (0.0000, 0.0000, 0.0000)